Entry 1:
Density functional theory data (GGA-PBE) for a relaxed structure of HoTm8Sc4.

Lattice parameters (Å, degrees): 9.7447 9.7447 9.7447 41.99 41.99 41.99
With the nearest neighbours (Å) after each atom.
Element x y z (fractional)
Ho  0.0000  0.0000  0.0000  6 Tm 2.89
Tm  0.2523  0.2523  0.7071  1 Ho 2.89, 1 Sc 3.15, 2 Tm 3.18
Tm  0.2523  0.7071  0.2523  1 Ho 2.89, 1 Sc 3.15, 2 Tm 3.18
Tm  0.2846  0.2846  0.2846  9 Tm 3.54-3.67, 3 Sc 3.73
Tm  0.2929  0.7477  0.7477  1 Ho 2.89, 1 Sc 3.15, 2 Tm 3.18
Tm  0.7071  0.2523  0.2523  1 Ho 2.89, 1 Sc 3.15, 2 Tm 3.18
Tm  0.7154  0.7154  0.7154  9 Tm 3.54-3.67, 3 Sc 3.73
Tm  0.7477  0.2929  0.7477  1 Ho 2.89, 1 Sc 3.15, 2 Tm 3.18
Tm  0.7477  0.7477  0.2929  1 Ho 2.89, 1 Sc 3.15, 2 Tm 3.18
Sc  0.0000  0.0000  0.5000  4 Tm 3.32, 6 Sc 3.49
Sc  0.0000  0.5000  0.0000  4 Tm 3.32, 6 Sc 3.49
Sc  0.5000  0.0000  0.0000  4 Tm 3.32, 6 Sc 3.49
Sc  0.5000  0.5000  0.5000  6 Tm 3.15, 6 Sc 3.49

Results
Symmetry: R-3m, No. 166
ΔH_f (0 K) in meV per atom: 271
Total DFT energy (no corrections) in eV/atom: -4.78
Total moment in μB per atom: 0.000

***

Entry 2:
Density functional theory data (GGA-PBE) for a relaxed structure of Ho2Tm2Sc5.

Lattice parameters (Å, degrees): 3.3600 8.2194 9.1009 77.12 89.83 89.41
With the nearest neighbours (Å) after each atom.
Element x y z (fractional)
Ho  0.2451  0.3246  0.2890  6 Sc 3.04-3.35, 2 Ho 3.36
Ho  0.7549  0.6754  0.7110  6 Sc 3.04-3.35, 2 Ho 3.36
Tm  0.2294  0.9816  0.8412  5 Sc 3.20-3.54, 4 Tm 3.34-3.49, 2 Ho 3.42-3.48
Tm  0.7706  0.0184  0.1588  5 Sc 3.20-3.54, 4 Tm 3.34-3.49, 2 Ho 3.42-3.48
Sc  0.2232  0.6766  0.3860  3 Ho 3.21-3.46, 6 Sc 3.21-3.52, 1 Tm 3.44
Sc  0.2595  0.3585  0.9264  3 Ho 3.25-3.35, 6 Sc 3.35-3.40, 3 Tm 3.36-3.54
Sc  0.5000  0.0000  0.5000  2 Ho 3.04, 2 Tm 3.20, 4 Sc 3.21-3.36
Sc  0.7405  0.6415  0.0736  3 Ho 3.25-3.35, 6 Sc 3.35-3.40, 3 Tm 3.36-3.54
Sc  0.7768  0.3234  0.6140  3 Ho 3.21-3.46, 6 Sc 3.21-3.52, 1 Tm 3.44

Results
Symmetry: P-1, No. 2
ΔH_f (0 K) in meV per atom: 82
Relative energy among the computed polymorphs in meV per atom: 0
Total DFT energy (no corrections) in eV/atom: -5.45
Total moment in μB per atom: 0.000

***

Entry 3:
Density functional theory data (GGA-PBE) for a relaxed structure of Ho3Tm3Sc.

Lattice parameters (Å, degrees): 14.1066 14.1066 14.1066 24.85 24.85 24.85
With the nearest neighbours (Å) after each atom.
Element x y z (fractional)
Ho  0.1321  0.4627  0.8007  3 Tm 3.45-3.46, 9 Ho 3.48-3.52
Ho  0.1993  0.8679  0.5373  3 Tm 3.45-3.46, 9 Ho 3.48-3.52
Ho  0.4627  0.8007  0.1321  3 Tm 3.45-3.46, 9 Ho 3.48-3.52
Ho  0.5373  0.1993  0.8679  3 Tm 3.45-3.46, 9 Ho 3.48-3.52
Ho  0.8007  0.1321  0.4627  3 Tm 3.45-3.46, 9 Ho 3.48-3.52
Ho  0.8679  0.5373  0.1993  3 Tm 3.45-3.46, 9 Ho 3.48-3.52
Tm  0.0633  0.7288  0.3984  2 Sc 3.29, 3 Ho 3.45-3.46, 6 Tm 3.49-3.52
Tm  0.2712  0.6016  0.9367  2 Sc 3.29, 3 Ho 3.45-3.46, 6 Tm 3.49-3.52
Tm  0.3984  0.0633  0.7288  2 Sc 3.29, 3 Ho 3.45-3.46, 6 Tm 3.49-3.52
Tm  0.6016  0.9367  0.2712  2 Sc 3.29, 3 Ho 3.45-3.46, 6 Tm 3.49-3.52
Tm  0.7288  0.3984  0.0633  2 Sc 3.29, 3 Ho 3.45-3.46, 6 Tm 3.49-3.52
Tm  0.9367  0.2712  0.6016  2 Sc 3.29, 3 Ho 3.45-3.46, 6 Tm 3.49-3.52
Sc  0.3333  0.3333  0.3333  6 Tm 3.29, 3 Sc 3.50
Sc  0.6667  0.6667  0.6667  6 Tm 3.29, 3 Sc 3.50

Results
Symmetry: R-3, No. 148
ΔH_f (0 K) in meV per atom: 161
Relative energy among the computed polymorphs in meV per atom: 148
Total DFT energy (no corrections) in eV/atom: -4.62
Total moment in μB per atom: 0.000